1.
Here is crystalline CsYPa at its relaxed geometry from the Open Quantum Materials Database. Energies are from GGA-PBE.

abc: 8.194 8.194 8.194
angles: 90.00 90.00 90.00
Space group F-43m (No. 216)
Unique sites:
Cs: 0.000 0.000 0.000 [4 per cell]
Y: 0.250 0.250 0.250 [4 per cell]
Pa: 0.000 0.000 0.500 [4 per cell]

Values from the calculation:
As for the offset from the most stable computed form: 0.0000 eV/atom. The value obtained for the total magnetization is 18.62 μB per cell.

=====

2.
Here is crystalline CsPaZn at its relaxed geometry from the Open Quantum Materials Database. Energies are from GGA-PBE.

abc: 7.117 7.117 7.117
angles: 90.00 90.00 90.00
Space group F-43m (No. 216)
Unique sites:
Cs: 0.000 0.000 0.000 [4 per cell]
Pa: 0.250 0.250 0.250 [4 per cell]
Zn: 0.000 0.000 0.500 [4 per cell]

Values from the calculation:
As for the offset from the most stable computed form: 0.0000 eV/atom. The value obtained for the total magnetization is 0.08 μB per cell.

=====

3.
Here is crystalline CsPaZn at its relaxed geometry from the Open Quantum Materials Database. Energies are from GGA-PBE.

abc: 7.078 7.078 7.078
angles: 90.00 90.00 90.00
Space group F-43m (No. 216)
Unique sites:
Cs: 0.000 0.000 0.000 [4 per cell]
Pa: 0.250 0.250 0.750 [4 per cell]
Zn: 0.250 0.250 0.250 [4 per cell]

Values from the calculation:
As for the offset from the most stable computed form: 0.2665 eV/atom. The value obtained for the total magnetization is 4.58 μB per cell.

=====

4.
Here is crystalline CsZrPa at its relaxed geometry from the Open Quantum Materials Database. Energies are from GGA-PBE.

abc: 7.539 7.539 7.539
angles: 90.00 90.00 90.00
Space group F-43m (No. 216)
Unique sites:
Cs: 0.000 0.000 0.000 [4 per cell]
Zr: 0.000 0.000 0.500 [4 per cell]
Pa: 0.250 0.250 0.250 [4 per cell]

Values from the calculation:
As for the offset from the most stable computed form: 0.0000 eV/atom. The value obtained for the total magnetization is 16.08 μB per cell.

=====

5.
Here is crystalline CsZrPa at its relaxed geometry from the Open Quantum Materials Database. Energies are from GGA-PBE.

abc: 7.177 7.177 7.177
angles: 90.00 90.00 90.00
Space group F-43m (No. 216)
Unique sites:
Cs: 0.000 0.000 0.000 [4 per cell]
Zr: 0.250 0.250 0.750 [4 per cell]
Pa: 0.250 0.250 0.250 [4 per cell]

Values from the calculation:
As for the offset from the most stable computed form: 0.0760 eV/atom. The value obtained for the total magnetization is 7.14 μB per cell.

=====

6.
Here is crystalline CsPdPb at its relaxed geometry from the Open Quantum Materials Database. Energies are from GGA-PBE.

abc: 7.828 7.828 7.828
angles: 90.00 90.00 90.00
Space group F-43m (No. 216)
Unique sites:
Cs: 0.000 0.000 0.000 [4 per cell]
Pd: 0.250 0.250 0.250 [4 per cell]
Pb: 0.250 0.250 0.750 [4 per cell]

=====

7.
Here is crystalline CsPd3Pb5 at its relaxed geometry from the Open Quantum Materials Database. Energies are from GGA-PBE.

abc: 5.8274 5.8274 8.7497
angles: 90.00 90.00 120.00
Space group P6/mmm (No. 191)
Unique sites:
Cs: 0.0000 0.0000 0.0000 [1 per cell]
Pd: 0.0000 0.5000 0.5000 [3 per cell]
Pb: 0.0000 0.0000 0.5000 [1 per cell]
Pb: 0.3333 0.6667 0.2300 [4 per cell]

=====

8.
Here is crystalline CsPmPb at its relaxed geometry from the Open Quantum Materials Database. Energies are from GGA-PBE.

abc: 7.910 7.910 7.910
angles: 90.00 90.00 90.00
Space group F-43m (No. 216)
Unique sites:
Cs: 0.000 0.000 0.000 [4 per cell]
Pm: 0.250 0.250 0.250 [4 per cell]
Pb: 0.000 0.000 0.500 [4 per cell]

Values from the calculation:
The value obtained for the total magnetization is 0.00 μB per cell.

=====

Number 1: energy -3.763 eV/atom. Number 2: energy -2.458 eV/atom. Number 3: energy -2.191 eV/atom. Number 4: energy -4.263 eV/atom. Number 5: energy -4.187 eV/atom. Number 6: energy -2.329 eV/atom. Number 7: energy -4.080 eV/atom. Number 8: energy -2.886 eV/atom.